GaCoBi2 (PBE, relaxed); ΔH_f (0 K) = 0.625 eV/atom; symmetry = R-3m, No. 166; DOS at the Fermi energy = 1.531 states/eV/atom
1.0
1.6611 0.9590 10.7652
-1.6611 0.9590 10.7652
0.0000 -1.9180 10.7652
Ga Co Bi
1 1 2
Cartesian
0.0000 0.0000 0.0000 Ga
0.0000 0.0000 16.1478 Co
0.0000 0.0000 13.5702 Bi
0.0000 0.0000 18.7254 Bi